No. 1
Hf2Mg2NbN6 | Alexandria | PBE | optimized geometry; volume = 12.2 Å³ per atom; DFT total energy = -8.610 eV per atom; SG = No. 12; uncorrected formation energy = -1.054 eV per atom
1.0
2.7687 -4.7634 0.0000
2.7687 4.7634 0.0000
-1.7817 0.0000 5.0987
Hf Mg Nb N
2 2 1 6
direct
0.1629 0.8371 0.0000
0.8371 0.1629 0.0000
0.3324 0.6676 0.5000
0.6676 0.3324 0.5000
0.5000 0.5000 0.0000
0.0997 0.4397 0.7739
0.2600 0.2600 0.2246
0.4397 0.0997 0.7739
0.5603 0.9003 0.2261
0.7400 0.7400 0.7754
0.9003 0.5603 0.2261


No. 2
Sm2Dy5Tm | Alexandria | PBE | optimized geometry; volume = 31.8 Å³ per atom; DFT total energy = -4.598 eV per atom; energy relative to the lowest polymorph listed for this composition = 0 kJ/mol of formula units; DFT formation energy = 1.7 kJ/mol of atoms; SG = No. 55
1.0
7.1154 0.0000 0.0000
0.0000 14.2312 0.0000
0.0000 0.0000 5.0200
Sm Dy Tm
4 10 2
direct
0.2492 0.1246 0.0000
0.2508 0.6246 0.0000
0.7492 0.3754 0.0000
0.7508 0.8754 0.0000
0.0000 0.5000 0.5000
0.0008 0.7503 0.5000
0.2493 0.3751 0.0000
0.2507 0.8751 0.0000
0.4992 0.2503 0.5000
0.5000 0.0000 0.5000
0.5008 0.7497 0.5000
0.7493 0.1249 0.0000
0.7507 0.6249 0.0000
0.9992 0.2497 0.5000
0.0000 0.0000 0.5000
0.5000 0.5000 0.5000


No. 3
DyEr6Tm3 | Alexandria | PBE | optimized geometry; volume = 30.9 Å³ per atom; DFT total energy = -4.389 eV per atom; energy relative to the lowest polymorph listed for this composition = 23 kJ/mol of formula units; DFT formation energy = 14.5 kJ/mol of atoms; SG = No. 36
1.0
5.4184 -9.3445 0.0000
5.4184 9.3445 0.0000
0.0000 0.0000 6.0977
Dy Er Tm
2 12 6
direct
0.2085 0.7915 0.5000
0.7915 0.2085 0.0000
0.0389 0.4589 0.7043
0.0485 0.9515 0.2642
0.2853 0.7147 0.9880
0.2892 0.3820 0.8749
0.3820 0.2892 0.3749
0.4589 0.0389 0.2043
0.5411 0.9611 0.7043
0.6180 0.7108 0.8749
0.7108 0.6180 0.3749
0.7147 0.2853 0.4880
0.9515 0.0485 0.7642
0.9611 0.5411 0.2043
0.0635 0.2801 0.2995
0.2801 0.0635 0.7995
0.3902 0.6098 0.4172
0.6098 0.3902 0.9172
0.7199 0.9365 0.2995
0.9365 0.7199 0.7995


No. 4
SrTeAs2W | Alexandria | PBE | optimized geometry; volume = 30.4 Å³ per atom; DFT total energy = -4.472 eV per atom; SG = No. 123; uncorrected formation energy = 0.943 eV per atom
1.0
5.5176 0.0000 0.0000
0.0000 5.5176 0.0000
0.0000 0.0000 4.9862
Sr Te As W
1 1 2 1
direct
0.0000 0.0000 0.0000
0.5000 0.5000 0.5000
0.0000 0.5000 0.5000
0.5000 0.0000 0.5000
0.5000 0.5000 0.0000